Entry from the Alexandria database: a geometry-optimized CsCa3Ag4Br12 structure (PBE-GGA).

Structure (extended XYZ):
```
20
Lattice="9.6306 -0.1402 -0.1947 -2.4565 9.3131 -0.1947 -2.4565 -3.1409 8.7697" Properties=species:S:1:pos:R:3 pbc="T T T"
Ag -2.5809 1.7897 7.8537
Br 5.5454 -2.0941 5.5319
Br -0.8277 0.1216 8.6101
Br 4.4143 3.5263 2.6657
Br 2.3588 -2.1009 7.8733
Br 2.3588 0.8982 5.7145
Cs 0.0000 0.0000 0.0000
Ag 2.3588 3.0160 4.1901
Br -3.3686 3.6976 6.3812
Ag 2.3588 8.1057 0.5266
Br -2.6074 6.9001 4.1901
Br 0.3174 8.4105 1.9990
Br 0.3034 4.6236 4.1901
Ca -2.4565 3.9818 3.6427
Br 4.4003 6.8061 -0.2299
Ca 2.7178 -1.8563 4.9322
Ca 4.4564 3.9066 -0.1947
Br 8.0863 1.1546 2.8483
Br 7.3251 4.2489 0.5069
Ag 7.2986 -0.8473 4.1901
```

Properties
Symmetry: R32
Formation energy from raw total energies: -1.178 eV per atom